[1]
DFT (PBE) results for a geometry-optimized InHgIrI2 structure.

Cell lengths 6.018, 5.261, 6.018 Å; angles 90.00, 90.00, 90.00 degrees
Last column: magnetic moment on the atom in μB.
Positions (direct):
I (0.000, 0.000, 0.500)  0.04
I (0.500, 0.000, 0.000)  0.02
Ir (0.000, 0.500, 0.000)  1.64
Hg (0.500, 0.500, 0.500)  0.03
In (0.000, 0.000, 0.000)  -0.02

- calculated density (g/cm³) = 6.636
- formation energy from raw total energies (eV per atom) = 0.799

[2]
DFT (PBE) results for a geometry-optimized In2HgIrI structure.

Cell lengths 5.271, 5.271, 5.347 Å; angles 90.00, 90.00, 90.00 degrees
Positions (direct):
I (0.500, 0.500, 0.500)
Ir (0.000, 0.000, 0.000)
Hg (0.000, 0.000, 0.500)
In (0.000, 0.500, 0.000)
In (0.500, 0.000, 0.000)

- calculated density (g/cm³) = 8.375
- formation energy from raw total energies (eV per atom) = -0.108

[3]
DFT (PBE) results for a geometry-optimized KInHgI5 structure.

Cell lengths 8.785, 8.785, 12.989 Å; angles 111.41, 111.41, 93.11 degrees
Last column: magnetic moment on the atom in μB.
Positions (direct):
K (0.000, 0.000, 0.500)  0.00
K (0.000, 0.000, 0.000)  0.00
In (0.657, 0.343, 0.250)  0.00
In (0.343, 0.657, 0.750)  0.00
Hg (0.330, 0.670, 0.250)  0.23
Hg (0.670, 0.330, 0.750)  0.23
I (0.099, 0.901, 0.250)  0.18
I (0.901, 0.099, 0.750)  0.18
I (0.926, 0.376, 0.193)  0.01
I (0.074, 0.624, 0.807)  0.01
I (0.624, 0.074, 0.307)  0.01
I (0.376, 0.926, 0.693)  0.01
I (0.689, 0.639, 0.444)  0.07
I (0.311, 0.361, 0.556)  0.07
I (0.361, 0.311, 0.056)  0.07
I (0.639, 0.689, 0.944)  0.07

- calculated density (g/cm³) = 3.872
- formation energy from raw total energies (eV per atom) = -0.590

[4]
DFT (PBE) results for a geometry-optimized KInHgI3 structure.

Cell lengths 5.685, 8.851, 12.218 Å; angles 93.95, 90.00, 108.73 degrees
Positions (direct):
K (0.652, 0.305, 0.622)
K (0.348, 0.695, 0.378)
In (0.070, 0.140, 0.202)
In (0.930, 0.860, 0.798)
Hg (0.249, 0.499, 0.074)
Hg (0.751, 0.501, 0.926)
I (0.896, 0.793, 0.222)
I (0.860, 0.720, 0.568)
I (0.591, 0.183, 0.144)
I (0.140, 0.280, 0.432)
I (0.409, 0.817, 0.856)
I (0.104, 0.207, 0.778)

- calculated density (g/cm³) = 4.205
- formation energy from raw total energies (eV per atom) = -0.673

[5]
DFT (PBE) results for a geometry-optimized KInHgI4 structure.

Cell lengths 11.292, 11.292, 8.421 Å; angles 72.27, 72.27, 44.59 degrees
Positions (direct):
K (0.280, 0.280, 0.762)
K (0.720, 0.720, 0.238)
In (0.657, 0.657, 0.795)
In (0.343, 0.343, 0.205)
Hg (0.975, 0.975, 0.320)
Hg (0.025, 0.025, 0.680)
I (0.209, 0.209, 0.419)
I (0.791, 0.791, 0.581)
I (0.108, 0.619, 0.992)
I (0.428, 0.428, 0.394)
I (0.381, 0.892, 0.008)
I (0.619, 0.108, 0.992)
I (0.572, 0.572, 0.606)
I (0.892, 0.381, 0.008)

- calculated density (g/cm³) = 4.022
- formation energy from raw total energies (eV per atom) = -0.722

[6]
DFT (PBE) results for a geometry-optimized LiInHgI2 structure.

Cell lengths 5.741, 5.741, 5.306 Å; angles 90.00, 90.00, 90.00 degrees
Positions (direct):
I (0.000, 0.500, 0.000)
I (0.500, 0.000, 0.000)
Li (0.000, 0.000, 0.000)
Hg (0.000, 0.000, 0.500)
In (0.500, 0.500, 0.500)

- calculated density (g/cm³) = 5.471
- formation energy from raw total energies (eV per atom) = -0.519

[7]
DFT (PBE) results for a geometry-optimized LiInHg2I4 structure.

Cell lengths 8.722, 8.710, 7.901 Å; angles 123.49, 123.58, 89.98 degrees
Positions (direct):
Li (0.987, 0.487, 0.974)
In (0.736, 0.736, 0.472)
Hg (0.486, 0.985, 0.971)
Hg (0.236, 0.236, 0.471)
I (0.739, 0.644, 0.759)
I (0.827, 0.451, 0.184)
I (0.357, 0.732, 0.183)
I (0.021, 0.115, 0.761)

- calculated density (g/cm³) = 4.568
- formation energy from raw total energies (eV per atom) = -0.492

[8]
DFT (PBE) results for a geometry-optimized LiInHgI4 structure.

Cell lengths 7.127, 9.090, 10.930 Å; angles 90.00, 104.57, 90.00 degrees
Positions (direct):
Li (0.664, 0.750, 0.294)
Li (0.336, 0.250, 0.706)
In (0.162, 0.750, 0.289)
In (0.838, 0.250, 0.711)
Hg (0.703, 0.750, 0.887)
Hg (0.297, 0.250, 0.113)
I (0.084, 0.486, 0.716)
I (0.916, 0.986, 0.284)
I (0.916, 0.514, 0.284)
I (0.084, 0.014, 0.716)
I (0.336, 0.750, 0.089)
I (0.664, 0.250, 0.911)
I (0.481, 0.750, 0.495)
I (0.519, 0.250, 0.505)

- calculated density (g/cm³) = 4.023
- formation energy from raw total energies (eV per atom) = -0.622

Question: Which value of calculated density does entry 7 give?
Answer: 4.568 g/cm³

Question: Which value of formation energy from raw total energies does entry 5 give?
Answer: -0.722 eV per atom

Question: Which value of calculated density does entry 4 give?
Answer: 4.205 g/cm³

Question: Which value of calculated density does entry 4 give?
Answer: 4.205 g/cm³